[1]
{
  "formula": "SrTl2As",
  "functional": "PBE",
  "state": "optimized geometry",
  "lattice_angstrom": [[-0.701, -3.048, 3.427], [-2.431, -2.688, -2.888], [4.541, -2.610, -1.393]],
  "species": ["Sr", "Tl", "Tl", "As"],
  "frac_coords": [[0.000, 0.500, 0.500], [0.000, 0.000, 0.000], [0.500, 0.500, 0.000], [0.500, 0.000, 0.500]],
  "de_polymorph_ev_per_fu": 0.20,
  "magnetic_moment_mub_per_cell": 0.0,
  "formation_enthalpy_0k_mev_per_atom": -407,
  "final_energy_ev_per_cell": -12.69
}

[2]
{
  "formula": "SrTl2As2",
  "functional": "PBE",
  "state": "optimized geometry",
  "lattice_angstrom": [[-1.831, 1.796, 4.765], [4.435, -1.925, 2.430], [3.597, 4.273, 2.845]],
  "species": ["Sr", "Tl", "Tl", "As", "As"],
  "frac_coords": [[0.000, 0.000, 0.000], [0.354, 0.354, 0.292], [0.646, 0.646, 0.708], [0.750, 0.250, 0.500], [0.250, 0.750, 0.500]],
  "de_polymorph_ev_per_fu": 0.81,
  "magnetic_moment_mub_per_cell": 0.0,
  "formation_enthalpy_0k_mev_per_atom": -209,
  "final_energy_ev_per_cell": -16.76
}

[3]
{
  "formula": "SrTl2AsW",
  "functional": "PBE",
  "state": "optimized geometry",
  "lattice_angstrom": [[-5.136, 0.832, 1.710], [-0.807, -4.797, -0.088], [1.670, -0.377, 5.202]],
  "species": ["Sr", "Tl", "Tl", "As", "W"],
  "frac_coords": [[0.500, 0.500, 0.500], [0.000, 0.000, 0.500], [0.500, 0.000, 0.000], [0.000, 0.500, 0.000], [0.000, 0.000, 0.000]],
  "magnetic_moment_mub_per_cell": 0.0,
  "formation_enthalpy_0k_mev_per_atom": 154,
  "final_energy_ev_per_cell": -23.25
}

[4]
{
  "formula": "SrYTlAs2",
  "functional": "PBE",
  "state": "optimized geometry",
  "lattice_angstrom": [[-1.961, -4.164, -3.081], [-2.521, -2.179, 4.550], [-4.550, 2.960, -1.104]],
  "species": ["Y", "Sr", "Tl", "As", "As"],
  "frac_coords": [[0.500, 0.500, 0.500], [0.000, 0.000, 0.000], [0.000, 0.500, 0.000], [0.000, 0.000, 0.500], [0.500, 0.000, 0.000]],
  "magnetic_moment_mub_per_cell": 0.0,
  "formation_enthalpy_0k_mev_per_atom": 442,
  "final_energy_ev_per_cell": -17.60
}

[5]
{
  "formula": "SrTmAs2",
  "functional": "PBE",
  "state": "optimized geometry",
  "lattice_angstrom": [[4.209, 0.000, 0.000], [2.105, 3.645, 0.000], [2.105, 1.215, 7.168]],
  "species": ["Sr", "As", "As", "Tm"],
  "frac_coords": [[0.500, 0.500, 0.500], [0.260, 0.260, 0.219], [0.740, 0.740, 0.781], [0.000, 0.000, 0.000]],
  "de_polymorph_ev_per_fu": 0.00,
  "magnetic_moment_mub_per_cell": 0.0,
  "formation_enthalpy_0k_mev_per_atom": -1166,
  "final_energy_ev_per_cell": -20.12
}

[6]
{
  "formula": "SrTmAs2",
  "functional": "PBE",
  "state": "optimized geometry",
  "lattice_angstrom": [[-2.965, -0.412, 3.121], [-3.905, -1.610, -0.927], [0.043, -7.117, 2.096]],
  "species": ["Sr", "Tm", "As", "As"],
  "frac_coords": [[0.670, 0.670, 0.990], [0.497, 0.497, 0.508], [0.095, 0.095, 0.715], [0.238, 0.238, 0.287]],
  "de_polymorph_ev_per_fu": 0.39,
  "magnetic_moment_mub_per_cell": 0.0,
  "formation_enthalpy_0k_mev_per_atom": -1068,
  "final_energy_ev_per_cell": -19.72
}

[7]
{
  "formula": "SrTmAs",
  "functional": "PBE",
  "state": "optimized geometry",
  "lattice_angstrom": [[-3.130, 3.325, 0.281], [-3.252, -3.125, 0.767], [4.527, 0.482, 7.533]],
  "species": ["As", "As", "Sr", "Sr", "Tm", "Tm"],
  "frac_coords": [[0.878, 0.878, 0.755], [0.122, 0.122, 0.245], [0.323, 0.323, 0.645], [0.677, 0.677, 0.355], [0.500, 0.000, 0.000], [0.000, 0.500, 0.000]],
  "magnetic_moment_mub_per_cell": 1.0,
  "formation_enthalpy_0k_mev_per_atom": -873,
  "final_energy_ev_per_cell": -26.85
}

[8]
{
  "formula": "Sr3TmU2As6",
  "functional": "PBE",
  "state": "optimized geometry",
  "lattice_angstrom": [[-5.106, 5.257, 0.399], [-1.852, -6.754, -2.196], [0.969, -1.323, 7.340]],
  "species": ["Sr", "Sr", "Sr", "Tm", "U", "U", "As", "As", "As", "As", "As", "As"],
  "frac_coords": [[0.165, 0.835, 0.500], [0.835, 0.165, 0.500], [0.500, 0.500, 0.500], [0.000, 0.000, 0.000], [0.333, 0.667, 0.000], [0.667, 0.333, 0.000], [0.928, 0.589, 0.784], [0.733, 0.733, 0.216], [0.072, 0.411, 0.216], [0.589, 0.928, 0.784], [0.267, 0.267, 0.784], [0.411, 0.072, 0.216]],
  "magnetic_moment_mub_per_cell": 3.0,
  "formation_enthalpy_0k_mev_per_atom": -1084,
  "final_energy_ev_per_cell": -73.00
}